No. 1
Li3Mg8Cd2 | the Alexandria database | PBE | relaxed; E = -1.5910 eV/atom; E above lowest polymorph = 0 meV/atom; V = 21.95 Å³/atom
1.0
5.809 -4.999 0.000
5.809 4.999 0.000
-2.096 0.000 4.914
Li Mg Cd
3 8 2
Cartesian
0.000 0.000 0.000 Li
4.760 2.452 2.457 Li
4.760 -2.452 2.457 Li
2.127 2.634 4.104 Mg
0.469 0.000 2.776 Mg
7.393 2.634 0.810 Mg
3.462 0.000 3.425 Mg
6.059 0.000 1.490 Mg
2.127 -2.634 4.104 Mg
9.052 0.000 2.138 Mg
7.393 -2.634 0.810 Mg
3.307 0.000 0.593 Cd
6.214 0.000 4.321 Cd

No. 2
Li12Mg2Cd5 | the Alexandria database | PBE | relaxed; E = -1.6915 eV/atom; E above lowest polymorph = 37 meV/atom; V = 20.08 Å³/atom
1.0
7.177 -2.823 0.000
7.177 2.823 0.000
-6.854 0.000 9.414
Li Mg Cd
12 2 5
Cartesian
4.825 1.388 0.304 Li
1.593 1.462 6.626 Li
1.706 0.000 2.701 Li
5.907 1.462 2.788 Li
-0.214 0.000 8.156 Li
2.675 1.388 9.110 Li
4.825 -1.388 0.304 Li
7.713 0.000 1.258 Li
1.593 -1.462 6.626 Li
5.794 0.000 6.714 Li
5.907 -1.462 2.788 Li
2.675 -1.388 9.110 Li
3.750 1.416 4.707 Mg
3.750 -1.416 4.707 Mg
0.000 0.000 0.000 Cd
-2.883 0.000 7.287 Cd
-0.536 0.000 5.246 Cd
8.036 0.000 4.169 Cd
10.383 0.000 2.127 Cd

No. 3
Li10Mg3Cd3 | the Alexandria database | PBE | relaxed; E = -1.7488 eV/atom; V = 20.22 Å³/atom
1.0
8.297 0.000 0.000
-4.149 7.186 0.000
0.000 0.000 5.426
Li Mg Cd
10 3 3
Cartesian
-0.972 1.684 0.000 Li
-3.198 5.538 2.713 Li
0.951 1.647 2.713 Li
1.944 0.000 0.000 Li
0.000 4.790 1.303 Li
0.000 4.790 4.123 Li
4.149 2.395 1.303 Li
4.149 2.395 4.123 Li
3.177 5.502 0.000 Li
6.395 0.000 2.713 Li
-1.719 2.977 2.713 Mg
3.438 0.000 2.713 Mg
2.430 4.208 2.713 Mg
-2.487 4.308 0.000 Cd
1.661 2.878 0.000 Cd
4.974 0.000 0.000 Cd

No. 4
Li2MgCd9 | the Alexandria database | PBE | relaxed; E = -1.2390 eV/atom; V = 21.60 Å³/atom
1.0
5.281 0.000 0.000
-1.533 6.436 0.000
-1.352 -0.886 7.627
Li Mg Cd
2 1 9
Cartesian
0.100 2.841 1.110 Li
2.295 2.709 6.517 Li
0.000 0.000 0.000 Mg
-1.840 4.640 4.631 Cd
-0.403 1.416 5.891 Cd
0.106 5.550 2.429 Cd
-0.237 4.141 7.030 Cd
1.198 2.775 3.814 Cd
2.632 1.409 0.597 Cd
2.290 0.000 5.198 Cd
2.798 4.134 1.736 Cd
4.235 0.910 2.996 Cd

No. 5
LiMg2Cd6 | the Alexandria database | PBE | relaxed; E = -1.2727 eV/atom; V = 22.04 Å³/atom
1.0
7.442 -4.217 0.000
7.442 4.217 0.000
-0.301 0.000 3.161
Li Mg Cd
1 2 6
Cartesian
0.000 0.000 0.000 Li
4.672 0.000 3.157 Mg
9.910 0.000 0.004 Mg
4.821 2.802 1.540 Cd
7.291 1.424 1.580 Cd
9.762 2.802 1.621 Cd
4.821 -2.802 1.540 Cd
7.291 -1.424 1.580 Cd
9.762 -2.802 1.621 Cd

No. 6
Li6Mg2Cd5 | the Alexandria database | PBE | relaxed; E = -1.6374 eV/atom; V = 19.91 Å³/atom
1.0
10.017 0.000 0.000
0.000 17.101 0.000
0.000 0.000 3.021
Li Mg Cd
12 4 10
Cartesian
0.524 1.300 0.000 Li
0.779 6.232 0.000 Li
1.853 10.605 1.511 Li
3.156 2.055 1.511 Li
4.229 14.783 0.000 Li
4.485 9.850 0.000 Li
5.533 7.251 0.000 Li
5.788 2.318 0.000 Li
6.862 15.046 1.511 Li
8.165 6.496 1.511 Li
9.238 10.869 0.000 Li
9.493 15.802 0.000 Li
1.585 13.440 0.000 Mg
3.423 4.889 0.000 Mg
6.594 12.212 0.000 Mg
8.432 3.661 0.000 Mg
0.000 8.551 1.511 Cd
0.994 3.787 1.511 Cd
2.024 16.257 1.511 Cd
2.985 7.707 1.511 Cd
4.014 12.337 1.511 Cd
5.009 0.000 1.511 Cd
6.003 4.764 1.511 Cd
7.032 9.394 1.511 Cd
7.994 0.844 1.511 Cd
9.023 13.315 1.511 Cd